## SmY2Ge2 (PBE-GGA)

Data for an optimized crystal structure of SmY2Ge2.

Cell and atoms, written as POSCAR:
```
SmY2Ge2
1.0
-0.169 -3.493 2.789
6.078 -2.655 0.630
2.955 3.598 8.274
Sm Ge Y
2 4 4
Direct
0.787 0.081 0.346
0.213 0.919 0.654
0.882 0.671 0.564
0.118 0.329 0.436
0.957 0.186 0.900
0.043 0.814 0.100
0.310 0.296 0.084
0.515 0.652 0.317
0.690 0.704 0.916
0.485 0.348 0.683
```

Total magnetization in μB per formula unit: 0.0
Formation energy from the elements in meV/atom: -654
V in Å³ per atom: 25.6